No. 1
This record from the Alexandria database describes a geometry-optimized Ba3WN structure. The functional is PBE-GGA.

Geometry as POSCAR:
```
Ba3WN
1.0
5.5860 0.0000 0.0000
0.0000 5.5860 0.0000
0.0000 0.0000 5.5860
Ba W N
3 1 1
Direct
0.0000 0.0000 0.5000
0.0000 0.5000 0.0000
0.5000 0.0000 0.0000
0.5000 0.5000 0.5000
0.0000 0.0000 0.0000
```

Summary:
VASP energy: -4.625 eV per atom
Magnetic moment: 4.6 μB per cell
Formation energy without anion corrections: 0.785 eV per atom

---

No. 2
This record from the Alexandria database describes a geometry-optimized BaW2N structure. The functional is PBE-GGA.

Geometry as POSCAR:
```
BaW2N
1.0
0.0000 4.5092 4.5092
4.5092 0.0000 4.5092
4.5092 4.5092 0.0000
Ba W N
2 4 2
Direct
0.1250 0.1250 0.1250
0.8750 0.8750 0.8750
0.0000 0.5000 0.5000
0.5000 0.0000 0.5000
0.5000 0.5000 0.0000
0.5000 0.5000 0.5000
0.3750 0.3750 0.3750
0.6250 0.6250 0.6250
```

Summary:
VASP energy: -8.420 eV per atom
Magnetic moment: 0.0 μB per cell
Formation energy without anion corrections: 0.619 eV per atom